The following is a DFT calculation (GGA+U) of a geometry-optimized TeMoO2 structure.

Cell: 3.3757 3.3757 19.4967 Å, 90.00 90.00 120.00°
Space group R-3m (No. 166, hexagonal axes)
One atom of each set of equivalent atoms:
Te (0.0000, 0.0000, 0.0000)
Mo (0.0000, 0.0000, 0.5000)
O (0.0000, 0.0000, 0.1161)

Results
Fermi-level density of states   3.17 states/eV/cell
Total energy   -6.0821 eV/atom
Calculated density   6.6 g/cm3

The following is a DFT calculation (GGA+U) of a geometry-optimized TeMoO4 structure.

Cell: 13.763 4.225 7.544 Å, 90.00 115.08 90.00°
Space group C2/m (No. 12)
One atom of each set of equivalent atoms:
Te (0.203, 0.000, 0.250)
Mo (0.103, 0.000, 0.691)
O (0.057, 0.000, 0.399)
O (0.127, 0.000, 0.980)
O (0.144, 0.500, 0.716)
O (0.238, 0.500, 0.259)

Results
Calculated density   4.8 g/cm3
Excess energy over the best structure of this formula in the dataset   19 meV/atom

The following is a DFT calculation (GGA+U) of a geometry-optimized Te2MoO6 structure.

Cell: 10.407 11.297 5.450 Å, 90.00 97.72 90.00°
Space group C2/c (No. 15)
One atom of each set of equivalent atoms:
Te (0.228, 0.102, 0.369)
Mo (0.000, 0.413, 0.250)
O (0.123, 0.479, 0.021)
O (0.127, 0.297, 0.429)
O (0.149, 0.054, 0.640)

Results
Total energy   -5.9514 eV/atom
Calculated density   4.7 g/cm3

The following is a DFT calculation (GGA+U) of a geometry-optimized TeMoO4 structure.

Cell: 6.929 6.929 6.578 Å, 90.00 90.00 90.00°
Space group I4_1md (No. 109)
One atom of each set of equivalent atoms:
Te (0.000, 0.000, 0.000)
Mo (0.000, 0.000, 0.488)
O (0.000, 0.300, 0.999)
O (0.000, 0.312, 0.483)

Results
Fermi-level density of states   3.00 states/eV/cell
Calculated density   6.0 g/cm3
Excess energy over the best structure of this formula in the dataset   0 meV/atom

The following is a DFT calculation (GGA+U) of a geometry-optimized TeMoO2 structure.

Cell: 8.679 8.679 8.679 Å, 90.00 90.00 90.00°
Space group Fd-3m (No. 227, origin choice 2)
One atom of each set of equivalent atoms:
Te (0.125, 0.125, 0.125)
Mo (0.125, 0.125, 0.625)
O (0.000, 0.000, 0.500)

Results
Fermi-level density of states   26.88 states/eV/cell
Total energy   -5.5935 eV/atom
Calculated density   5.2 g/cm3

The following is a DFT calculation (GGA+U) of a geometry-optimized Te3MoO structure.

Cell: 5.213 5.213 5.213 Å, 90.00 90.00 90.00°
Space group Pm-3m (No. 221)
One atom of each set of equivalent atoms:
Te (0.000, 0.000, 0.500)
Mo (0.000, 0.000, 0.000)
O (0.500, 0.500, 0.500)

Results
Fermi-level density of states   8.04 states/eV/cell
Calculated density   5.8 g/cm3
Excess energy over the best structure of this formula in the dataset   739 meV/atom

The following is a DFT calculation (GGA+U) of a geometry-optimized Te3MoO structure.

Cell: 4.862 4.862 4.862 Å, 90.00 90.00 90.00°
Space group Pm-3m (No. 221)
One atom of each set of equivalent atoms:
Te (0.000, 0.000, 0.500)
Mo (0.500, 0.500, 0.500)
O (0.000, 0.000, 0.000)

Results
Fermi-level density of states   3.51 states/eV/cell
Calculated density   7.1 g/cm3
Excess energy over the best structure of this formula in the dataset   0 meV/atom

The following is a DFT calculation (GGA+U) of a geometry-optimized TeMoO2 structure.

Cell: 3.0220 3.0220 22.5926 Å, 90.00 90.00 120.00°
Space group R-3m (No. 166, hexagonal axes)
One atom of each set of equivalent atoms:
Te (0.0000, 0.0000, 0.0000)
Mo (0.0000, 0.0000, 0.5000)
O (0.0000, 0.0000, 0.4170)

Results
Fermi-level density of states   5.92 states/eV/cell
Total energy   -5.0900 eV/atom
Calculated density   7.1 g/cm3

The following is a DFT calculation (GGA+U) of a geometry-optimized TeMo2O6 structure.

Cell: 9.4707 9.4707 4.8101 Å, 90.00 90.00 120.00°
Space group P-3m1 (No. 164)
One atom of each set of equivalent atoms:
Te (0.0000, 0.0000, 0.0000)
Te (0.3333, 0.6667, 0.4461)
Mo (0.0000, 0.3463, 0.0000)
O (0.0921, 0.5460, 0.7564)
O (0.1190, 0.2380, 0.8004)
O (0.2275, 0.4549, 0.2254)

Results
Fermi-level density of states   2.52 states/eV/cell
Total energy   -6.5458 eV/atom
Calculated density   5.5 g/cm3

The following is a DFT calculation (GGA+U) of a geometry-optimized TeMoO5 structure.

Cell: 5.578 5.583 7.686 Å, 71.37 71.36 73.71°
Space group P1 (No. 1)
One atom of each set of equivalent atoms:
Te (0.000, 0.000, 0.000)
Te (0.053, 0.947, 0.500)
Mo (0.495, 0.462, 0.793)
Mo (0.515, 0.442, 0.293)
O (0.191, 0.699, 0.346)
O (0.217, 0.751, 0.705)
O (0.218, 0.239, 0.869)
O (0.290, 0.166, 0.369)
O (0.416, 0.510, 0.026)
O (0.562, 0.362, 0.527)
O (0.702, 0.679, 0.174)
O (0.734, 0.647, 0.674)
O (0.751, 0.137, 0.846)
O (0.803, 0.163, 0.205)

Results
Fermi-level density of states   0.00 states/eV/cell
Total energy   -6.2867 eV/atom
Calculated density   4.8 g/cm3

The following is a DFT calculation (GGA+U) of a geometry-optimized Tl2TeMoO6 structure.

Cell: 6.1083 6.1083 30.3163 Å, 90.00 90.00 120.00°
Space group R-3m (No. 166, hexagonal axes)
One atom of each set of equivalent atoms:
Tl (0.0000, 0.0000, 0.1259)
Tl (0.0000, 0.0000, 0.2742)
Te (0.0000, 0.0000, 0.0000)
Te (0.0000, 0.0000, 0.5000)
Mo (0.0000, 0.0000, 0.4037)
O (0.0148, 0.5074, 0.2931)
O (0.0500, 0.5250, 0.1162)

Results
Fermi-level density of states   0.05 states/eV/cell
Total energy   -5.5037 eV/atom
Calculated density   7.4 g/cm3

The following is a DFT calculation (GGA+U) of a geometry-optimized TmTe2MoO8 structure.

Cell: 6.4058 6.4058 5.8247 Å, 90.00 90.00 120.00°
Space group P-3m1 (No. 164)
One atom of each set of equivalent atoms:
Tm (0.0000, 0.0000, 0.0000)
Te (0.3333, 0.6667, 0.3080)
Mo (0.0000, 0.0000, 0.5000)
O (0.1401, 0.2801, 0.2811)
O (0.3333, 0.6667, 0.6184)

Results
Total energy   -6.3083 eV/atom
Calculated density   5.2 g/cm3